Entry 1:
Computed, not measured: ZrTa2Se after structural relaxation at the PBE-GGA level of DFT. Values from VASP.

Values from the calculation:
Total magnetic moment: 0.0000 μB per atom
Symmetry: F-43m (216)
Mass density: 11.73 g cm⁻³
Uncorrected formation energy: 166.2 meV/atom

Cell and atoms, written as Quantum ESPRESSO input:
```
&SYSTEM
  ibrav = 0, nat = 4, ntyp = 3
/
ATOMIC_SPECIES
Se 78.96 Se.upf
Ta 180.95 Ta.upf
Zr 91.22 Zr.upf
CELL_PARAMETERS angstrom
4.7404 0.0000 0.0000
2.3702 4.1053 0.0000
2.3702 1.3684 3.8705
ATOMIC_POSITIONS crystal
Se 0.5000 0.5000 0.5000
Ta 0.0000 0.0000 0.0000
Ta 0.2500 0.2500 0.2500
Zr 0.7500 0.7500 0.7500
```

Entry 2:
Computed, not measured: ZrTaSe after structural relaxation at the PBE-GGA level of DFT. Values from VASP.

Values from the calculation:
Total magnetic moment: 0.0000 μB per atom
Symmetry: Fmm2 (42)
Energy relative to the lowest polymorph listed for this composition: 521 meV/atom
Mass density: 9.97 g cm⁻³
Uncorrected formation energy: -271.1 meV/atom

Cell and atoms, written as Quantum ESPRESSO input:
```
&SYSTEM
  ibrav = 0, nat = 3, ntyp = 3
/
ATOMIC_SPECIES
Se 78.96 Se.upf
Ta 180.95 Ta.upf
Zr 91.22 Zr.upf
CELL_PARAMETERS angstrom
6.7145 0.0101 -0.0078
5.7414 3.0035 0.0055
0.9731 -0.7321 2.9026
ATOMIC_POSITIONS crystal
Se 0.9972 0.9972 0.0028
Ta 0.3429 0.3429 0.6571
Zr 0.6598 0.6598 0.3402
```

Entry 3:
Computed, not measured: ZrTa2Se after structural relaxation at the PBE-GGA level of DFT. Values from VASP.

Values from the calculation:
Total magnetic moment: 0.0000 μB per atom
Symmetry: P4/mmm (123)
Mass density: 11.66 g cm⁻³
Uncorrected formation energy: -12.8 meV/atom

Cell and atoms, written as Quantum ESPRESSO input:
```
&SYSTEM
  ibrav = 0, nat = 4, ntyp = 3
/
ATOMIC_SPECIES
Se 78.96 Se.upf
Ta 180.95 Ta.upf
Zr 91.22 Zr.upf
CELL_PARAMETERS angstrom
-1.0578 1.8557 -4.4294
-3.3014 -2.1198 -0.0997
-1.9470 2.9523 1.7019
ATOMIC_POSITIONS crystal
Se 0.5000 0.0000 0.5000
Ta 0.0000 0.0000 0.0000
Ta 0.0000 0.5000 0.5000
Zr 0.5000 0.5000 0.0000
```

Entry 4:
Computed, not measured: ZrTaSe6 after structural relaxation at the PBE-GGA level of DFT. Values from VASP.

Values from the calculation:
Total magnetic moment: 0.0000 μB per atom
Symmetry: P-1 (2)
Mass density: 5.85 g cm⁻³
Uncorrected formation energy: -576.8 meV/atom

Cell and atoms, written as Quantum ESPRESSO input:
```
&SYSTEM
  ibrav = 0, nat = 8, ntyp = 3
/
ATOMIC_SPECIES
Zr 91.22 Zr.upf
Ta 180.95 Ta.upf
Se 78.96 Se.upf
CELL_PARAMETERS angstrom
-0.4987 -2.8915 -5.9794
1.4903 -6.1423 -0.7030
-4.8490 -4.6559 0.0275
ATOMIC_POSITIONS crystal
Zr 0.5000 0.5000 0.5000
Ta 0.0000 0.0000 0.0000
Se 0.1029 0.3943 0.6696
Se 0.7610 0.0320 0.7646
Se 0.6250 0.3300 0.1587
Se 0.2390 0.9680 0.2354
Se 0.8971 0.6057 0.3304
Se 0.3750 0.6700 0.8413
```

Entry 5:
Computed, not measured: ZrTa2Se after structural relaxation at the PBE-GGA level of DFT. Values from VASP.

Values from the calculation:
Total magnetic moment: 0.0000 μB per atom
Symmetry: C2/m (12)
Mass density: 11.72 g cm⁻³
Uncorrected formation energy: -125.7 meV/atom

Cell and atoms, written as Quantum ESPRESSO input:
```
&SYSTEM
  ibrav = 0, nat = 4, ntyp = 3
/
ATOMIC_SPECIES
Se 78.96 Se.upf
Ta 180.95 Ta.upf
Zr 91.22 Zr.upf
CELL_PARAMETERS angstrom
5.2531 0.0061 -0.0055
4.2042 3.1496 -0.0055
1.0736 0.3582 4.5642
ATOMIC_POSITIONS crystal
Se 0.2500 0.2500 0.2500
Ta 0.9875 0.9875 0.0176
Ta 0.5125 0.5125 0.4824
Zr 0.7500 0.7500 0.7500
```

Entry 6:
Computed, not measured: Zr2TaSe after structural relaxation at the PBE-GGA level of DFT. Values from VASP.

Values from the calculation:
Total magnetic moment: 0.0000 μB per atom
Symmetry: I4/mmm (139)
Mass density: 9.19 g cm⁻³
Uncorrected formation energy: -43.4 meV/atom

Cell and atoms, written as Quantum ESPRESSO input:
```
&SYSTEM
  ibrav = 0, nat = 4, ntyp = 3
/
ATOMIC_SPECIES
Se 78.96 Se.upf
Ta 180.95 Ta.upf
Zr 91.22 Zr.upf
CELL_PARAMETERS angstrom
5.2525 -0.0210 0.0000
1.7076 4.9672 0.0000
-3.4801 -2.4731 3.0598
ATOMIC_POSITIONS crystal
Se 0.2500 0.7500 0.5000
Ta 0.7500 0.2500 0.5000
Zr 0.0000 0.0000 0.0000
Zr 0.5000 0.5000 0.0000
```

Entry 7:
Computed, not measured: Zr2TaSe after structural relaxation at the PBE-GGA level of DFT. Values from VASP.

Values from the calculation:
Total magnetic moment: 0.0000 μB per atom
Symmetry: C2/m (12)
Mass density: 9.35 g cm⁻³
Uncorrected formation energy: -308.3 meV/atom

Cell and atoms, written as Quantum ESPRESSO input:
```
&SYSTEM
  ibrav = 0, nat = 4, ntyp = 3
/
ATOMIC_SPECIES
Se 78.96 Se.upf
Ta 180.95 Ta.upf
Zr 91.22 Zr.upf
CELL_PARAMETERS angstrom
6.9465 -0.0001 -0.0004
-2.6249 4.0777 0.0057
1.6966 1.0806 2.7741
ATOMIC_POSITIONS crystal
Se 0.0000 0.5000 0.5000
Ta 0.5000 0.5000 0.0000
Zr 0.0000 0.0000 0.0000
Zr 0.5000 0.0000 0.5000
```

Entry 8:
Computed, not measured: Zr2TaSe after structural relaxation at the PBE-GGA level of DFT. Values from VASP.

Values from the calculation:
Total magnetic moment: 0.0000 μB per atom
Symmetry: Cm (8)
Mass density: 9.13 g cm⁻³
Uncorrected formation energy: -256.1 meV/atom

Cell and atoms, written as Quantum ESPRESSO input:
```
&SYSTEM
  ibrav = 0, nat = 4, ntyp = 3
/
ATOMIC_SPECIES
Se 78.96 Se.upf
Ta 180.95 Ta.upf
Zr 91.22 Zr.upf
CELL_PARAMETERS angstrom
5.3745 0.0009 0.0304
4.3471 3.1603 0.0304
1.2815 0.4167 4.7435
ATOMIC_POSITIONS crystal
Se 0.4826 0.4826 0.4837
Ta 0.7706 0.7706 0.7485
Zr 0.0088 0.0088 0.9826
Zr 0.2381 0.2381 0.2852
```

Entry 9:
Computed, not measured: ZrTaSe after structural relaxation at the PBE-GGA level of DFT. Values from VASP.

Values from the calculation:
Total magnetic moment: 0.0000 μB per atom
Symmetry: Cm (8)
Energy relative to the lowest polymorph listed for this composition: 498 meV/atom
Mass density: 10.00 g cm⁻³
Uncorrected formation energy: -294.3 meV/atom

Cell and atoms, written as Quantum ESPRESSO input:
```
&SYSTEM
  ibrav = 0, nat = 3, ntyp = 3
/
ATOMIC_SPECIES
Se 78.96 Se.upf
Ta 180.95 Ta.upf
Zr 91.22 Zr.upf
CELL_PARAMETERS angstrom
6.0420 0.2160 -0.1786
4.3990 4.4283 -0.0828
-5.2524 -2.3800 2.3909
ATOMIC_POSITIONS crystal
Se 0.9777 0.9843 0.9933
Ta 0.3180 0.3556 0.9625
Zr 0.7043 0.6601 0.0442
```

Entry 10:
Computed, not measured: ZrTa2Se after structural relaxation at the PBE-GGA level of DFT. Values from VASP.

Values from the calculation:
Total magnetic moment: 0.0000 μB per atom
Symmetry: P2/m (10)
Mass density: 11.45 g cm⁻³
Uncorrected formation energy: -32.4 meV/atom

Cell and atoms, written as Quantum ESPRESSO input:
```
&SYSTEM
  ibrav = 0, nat = 4, ntyp = 3
/
ATOMIC_SPECIES
Se 78.96 Se.upf
Ta 180.95 Ta.upf
Zr 91.22 Zr.upf
CELL_PARAMETERS angstrom
-1.5945 -4.3611 -1.5928
1.2812 0.5910 -2.9006
4.2549 -2.0194 1.2696
ATOMIC_POSITIONS crystal
Se 0.5000 0.7500 0.7500
Ta 0.0000 0.9347 0.0060
Ta 0.0000 0.5653 0.4940
Zr 0.5000 0.2500 0.2500
```

Entry 11:
Computed, not measured: ZrTa2Se6 after structural relaxation at the PBE-GGA level of DFT. Values from VASP.

Values from the calculation:
Total magnetic moment: 0.0000 μB per atom
Symmetry: C2/m (12)
Energy relative to the lowest polymorph listed for this composition: 314 meV/atom
Mass density: 6.50 g cm⁻³
Uncorrected formation energy: -645.5 meV/atom

Cell and atoms, written as Quantum ESPRESSO input:
```
&SYSTEM
  ibrav = 0, nat = 9, ntyp = 3
/
ATOMIC_SPECIES
Zr 91.22 Zr.upf
Ta 180.95 Ta.upf
Se 78.96 Se.upf
CELL_PARAMETERS angstrom
4.6585 0.0000 0.0000
2.3292 6.3653 -0.4537
2.3292 2.1252 7.8297
ATOMIC_POSITIONS crystal
Zr 0.0000 0.5000 0.5000
Ta 0.1396 0.7945 0.9264
Ta 0.8604 0.2055 0.0736
Se 0.7055 0.6452 0.9437
Se 0.2945 0.3548 0.0563
Se 0.9652 0.8359 0.2338
Se 0.3560 0.6644 0.6236
Se 0.0348 0.1641 0.7662
Se 0.6440 0.3356 0.3764
```

Entry 12:
Computed, not measured: ZrTaSe after structural relaxation at the PBE-GGA level of DFT. Values from VASP.

Values from the calculation:
Total magnetic moment: 0.0000 μB per atom
Symmetry: P4/nmm (129)
Energy relative to the lowest polymorph listed for this composition: 0 meV/atom
Mass density: 9.44 g cm⁻³
Uncorrected formation energy: -792.3 meV/atom

Cell and atoms, written as Quantum ESPRESSO input:
```
&SYSTEM
  ibrav = 0, nat = 6, ntyp = 3
/
ATOMIC_SPECIES
Se 78.96 Se.upf
Zr 91.22 Zr.upf
Ta 180.95 Ta.upf
CELL_PARAMETERS angstrom
3.5437 0.0000 0.0000
0.0000 3.5437 0.0000
0.0000 0.0000 9.8414
ATOMIC_POSITIONS crystal
Se 0.0000 0.5000 0.6359
Se 0.5000 0.0000 0.3641
Zr 0.5000 0.0000 0.7434
Zr 0.0000 0.5000 0.2566
Ta 0.0000 0.5000 0.9281
Ta 0.5000 0.0000 0.0719
```

Entry 13:
Computed, not measured: Zr2TaSe after structural relaxation at the PBE-GGA level of DFT. Values from VASP.

Values from the calculation:
Total magnetic moment: 0.0000 μB per atom
Symmetry: P4mm (99)
Mass density: 9.23 g cm⁻³
Uncorrected formation energy: -223.6 meV/atom

Cell and atoms, written as Quantum ESPRESSO input:
```
&SYSTEM
  ibrav = 0, nat = 4, ntyp = 3
/
ATOMIC_SPECIES
Se 78.96 Se.upf
Ta 180.95 Ta.upf
Zr 91.22 Zr.upf
CELL_PARAMETERS angstrom
3.5775 0.0000 0.0000
0.0000 3.5775 0.0000
0.0000 0.0000 6.2159
ATOMIC_POSITIONS crystal
Se 0.0000 0.0000 0.4993
Ta 0.5000 0.5000 0.7497
Zr 0.0000 0.0000 0.9878
Zr 0.5000 0.5000 0.2632
```

Entry 14:
Computed, not measured: ZrTa4Se after structural relaxation at the PBE-GGA level of DFT. Values from VASP.

Values from the calculation:
Total magnetic moment: 0.0000 μB per atom
Symmetry: F-43m (216)
Mass density: 12.21 g cm⁻³
Uncorrected formation energy: 371.5 meV/atom

Cell and atoms, written as Quantum ESPRESSO input:
```
&SYSTEM
  ibrav = 0, nat = 6, ntyp = 3
/
ATOMIC_SPECIES
Zr 91.22 Zr.upf
Ta 180.95 Ta.upf
Se 78.96 Se.upf
CELL_PARAMETERS angstrom
-1.2074 -4.9919 -2.1298
-5.1080 -2.1141 0.5937
-3.3712 -0.4024 -4.4030
ATOMIC_POSITIONS crystal
Zr 0.7500 0.7500 0.7500
Ta 0.8698 0.3767 0.3767
Ta 0.3767 0.3767 0.8698
Ta 0.3767 0.8698 0.3767
Ta 0.3767 0.3767 0.3767
Se 0.0000 0.0000 0.0000
```